No. 1
Density functional theory data (GGA-PBE) for a relaxed structure of ErPaNi2.

Computed properties:
The space-group type is Pm. Its energy above the most stable polymorph in this dataset is 0.000 eV per atom.

a = 3.4751 Å, b = 4.2963 Å, c = 5.4414 Å
α = 90.00°, β = 108.71°, γ = 90.00°
Positions (direct):
Ni (0.1703, 0.5000, 0.8780)
Ni (0.0062, 0.0000, 0.5527)
Pa (0.7141, 0.0000, 0.9662)
Er (0.4404, 0.5000, 0.4212)

No. 2
Density functional theory data (GGA-PBE) for a relaxed structure of ErPa2Ni9.

Computed properties:
The space-group type is R-3m.

a = 4.9031 Å, b = 4.9031 Å, c = 8.6781 Å
α = 73.59°, β = 73.59°, γ = 60.00°
Positions (direct):
Ni (0.9181, 0.4168, 0.2484)
Ni (0.5832, 0.5832, 0.7516)
Ni (0.3330, 0.3330, 0.0010)
Ni (0.6670, 0.6670, 0.9990)
Ni (0.5832, 0.0819, 0.7516)
Ni (0.5000, 0.5000, 0.5000)
Ni (0.0819, 0.5832, 0.7516)
Ni (0.4168, 0.4168, 0.2484)
Ni (0.4168, 0.9181, 0.2484)
Pa (0.8610, 0.8610, 0.4170)
Pa (0.1390, 0.1390, 0.5830)
Er (0.0000, 0.0000, 0.0000)

No. 3
Density functional theory data (GGA-PBE) for a relaxed structure of ErPaNi2.

Computed properties:
The space-group type is R-3m. Its energy above the most stable polymorph in this dataset is 0.145 eV per atom.

a = 3.6738 Å, b = 3.6738 Å, c = 7.3058 Å
α = 75.44°, β = 75.44°, γ = 60.00°
Positions (direct):
Ni (0.2571, 0.2571, 0.2287)
Ni (0.7429, 0.7429, 0.7713)
Pa (0.0000, 0.0000, 0.0000)
Er (0.5000, 0.5000, 0.5000)

No. 4
Density functional theory data (GGA-PBE) for a relaxed structure of Er2PaNi3.

Computed properties:
The space-group type is Pmmn.

a = 3.6156 Å, b = 4.2776 Å, c = 15.0365 Å
α = 90.00°, β = 90.00°, γ = 90.00°
Positions (direct):
Ni (0.7485, 0.5000, 0.0000)
Ni (0.2515, 0.0000, 0.5000)
Ni (0.7489, 0.0000, 0.8725)
Ni (0.2511, 0.5000, 0.6275)
Ni (0.7489, 0.0000, 0.1275)
Ni (0.2511, 0.5000, 0.3725)
Er (0.2494, 0.5000, 0.1774)
Er (0.7506, 0.0000, 0.3226)
Er (0.7506, 0.0000, 0.6774)
Er (0.2494, 0.5000, 0.8226)
Pa (0.2487, 0.0000, 0.0000)
Pa (0.7513, 0.5000, 0.5000)

No. 5
Density functional theory data (GGA-PBE) for a relaxed structure of Er2Pa2Ni15.

Computed properties:
The space-group type is R-3m.

a = 6.4796 Å, b = 6.4796 Å, c = 6.4796 Å
α = 81.30°, β = 81.30°, γ = 81.30°
Positions (direct):
Ni (0.6868, 0.3132, 0.0000)
Ni (0.5000, 0.0000, 0.0000)
Ni (0.8361, 0.3452, 0.3452)
Ni (0.1639, 0.6548, 0.6548)
Ni (0.6548, 0.1639, 0.6548)
Ni (0.3132, 0.6868, 0.0000)
Ni (0.3132, 0.0000, 0.6868)
Ni (0.0000, 0.0000, 0.5000)
Ni (0.3452, 0.3452, 0.8361)
Ni (0.3452, 0.8361, 0.3452)
Ni (0.0000, 0.3132, 0.6868)
Ni (0.6548, 0.6548, 0.1639)
Ni (0.0000, 0.5000, 0.0000)
Ni (0.6868, 0.0000, 0.3132)
Ni (0.0000, 0.6868, 0.3132)
Pa (0.1087, 0.1087, 0.1087)
Pa (0.8913, 0.8913, 0.8913)
Er (0.6358, 0.6358, 0.6358)
Er (0.3642, 0.3642, 0.3642)

No. 6
Density functional theory data (GGA-PBE) for a relaxed structure of ErPaNi2.

Computed properties:
The space-group type is Fm-3m. Its energy above the most stable polymorph in this dataset is 0.160 eV per atom.

a = 4.7461 Å, b = 4.7461 Å, c = 4.7461 Å
α = 60.00°, β = 60.00°, γ = 60.00°
Positions (direct):
Pa (0.0000, 0.0000, 0.0000)
Ni (0.7500, 0.7500, 0.7500)
Ni (0.2500, 0.2500, 0.2500)
Er (0.5000, 0.5000, 0.5000)

No. 7
Density functional theory data (GGA-PBE) for a relaxed structure of ErPaNi.

Computed properties:
The space-group type is I4mm. Its energy above the most stable polymorph in this dataset is 0.000 eV per atom.

a = 3.4580 Å, b = 3.4580 Å, c = 6.0953 Å
α = 106.48°, β = 106.48°, γ = 90.00°
Positions (direct):
Pa (0.2984, 0.2984, 0.5968)
Ni (0.6929, 0.6929, 0.3857)
Er (0.0087, 0.0087, 0.0175)

No. 8
Density functional theory data (GGA-PBE) for a relaxed structure of Er2PaNi9.

Computed properties:
The space-group type is R-3m.

a = 4.9168 Å, b = 4.9168 Å, c = 8.6159 Å
α = 73.42°, β = 73.42°, γ = 60.00°
Positions (direct):
Ni (0.4168, 0.9188, 0.2476)
Ni (0.3335, 0.3335, 0.9996)
Ni (0.5000, 0.5000, 0.5000)
Ni (0.0812, 0.5832, 0.7524)
Ni (0.5832, 0.0812, 0.7524)
Ni (0.4168, 0.4168, 0.2476)
Ni (0.9188, 0.4168, 0.2476)
Ni (0.6665, 0.6665, 0.0004)
Ni (0.5832, 0.5832, 0.7524)
Er (0.1396, 0.1396, 0.5813)
Er (0.8604, 0.8604, 0.4187)
Pa (0.0000, 0.0000, 0.0000)

No. 9
Density functional theory data (GGA-PBE) for a relaxed structure of ErPaNiPd.

Computed properties:
The space-group type is F-43m.

a = 4.8661 Å, b = 4.8661 Å, c = 4.8661 Å
α = 60.00°, β = 60.00°, γ = 60.00°
Positions (direct):
Pa (0.5000, 0.5000, 0.5000)
Pd (0.2500, 0.2500, 0.2500)
Er (0.0000, 0.0000, 0.0000)
Ni (0.7500, 0.7500, 0.7500)

No. 10
Density functional theory data (GGA-PBE) for a relaxed structure of ErPaReNi.

Computed properties:
The space-group type is F-43m.

a = 4.8111 Å, b = 4.8111 Å, c = 4.8111 Å
α = 60.00°, β = 60.00°, γ = 60.00°
Positions (direct):
Er (0.5000, 0.5000, 0.5000)
Ni (0.7500, 0.7500, 0.7500)
Pa (0.0000, 0.0000, 0.0000)
Re (0.2500, 0.2500, 0.2500)

No. 11
Density functional theory data (GGA-PBE) for a relaxed structure of ErPaNiRu.

Computed properties:
The space-group type is F-43m.

a = 4.7928 Å, b = 4.7928 Å, c = 4.7928 Å
α = 60.00°, β = 60.00°, γ = 60.00°
Positions (direct):
Pa (0.5000, 0.5000, 0.5000)
Ni (0.7500, 0.7500, 0.7500)
Er (0.0000, 0.0000, 0.0000)
Ru (0.2500, 0.2500, 0.2500)

No. 12
Density functional theory data (GGA-PBE) for a relaxed structure of ErPaNiS4.

Computed properties:
The space-group type is P2_1/m. The uncorrected formation energy is -140.2 kJ/mol of atoms.

a = 6.2509 Å, b = 5.9628 Å, c = 7.4851 Å
α = 90.00°, β = 106.26°, γ = 90.00°
Positions (direct):
Pa (0.2409, 0.2500, 0.5571)
Pa (0.7591, 0.7500, 0.4429)
Ni (0.2409, 0.7500, 0.3318)
Ni (0.7591, 0.2500, 0.6682)
S (0.4383, 0.7500, 0.6190)
S (0.5617, 0.2500, 0.3810)
S (0.4359, 0.7500, 0.1184)
S (0.0152, 0.9896, 0.7531)
S (0.0152, 0.5104, 0.7531)
S (0.5641, 0.2500, 0.8816)
S (0.9848, 0.0104, 0.2469)
S (0.9848, 0.4896, 0.2469)
Er (0.7548, 0.7500, 0.9432)
Er (0.2452, 0.2500, 0.0568)

No. 13
Density functional theory data (GGA-PBE) for a relaxed structure of Er12Ni6Pb.

Computed properties:
The space-group type is Im-3.

a = 8.3455 Å, b = 8.3455 Å, c = 8.3455 Å
α = 109.47°, β = 109.47°, γ = 109.47°
Positions (direct):
Ni (0.8764, 0.3764, 0.5000)
Ni (0.6236, 0.5000, 0.1236)
Ni (0.5000, 0.1236, 0.6236)
Ni (0.5000, 0.8764, 0.3764)
Ni (0.3764, 0.5000, 0.8764)
Ni (0.1236, 0.6236, 0.5000)
Er (0.1883, 0.6957, 0.8841)
Er (0.8117, 0.6957, 0.5074)
Er (0.5074, 0.8117, 0.6957)
Er (0.3043, 0.1159, 0.8117)
Er (0.3043, 0.4926, 0.1883)
Er (0.6957, 0.5074, 0.8117)
Er (0.4926, 0.1883, 0.3043)
Er (0.6957, 0.8841, 0.1883)
Er (0.1159, 0.8117, 0.3043)
Er (0.8117, 0.3043, 0.1159)
Er (0.8841, 0.1883, 0.6957)
Er (0.1883, 0.3043, 0.4926)
Pb (0.0000, 0.0000, 0.0000)

No. 14
Density functional theory data (GGA-PBE) for a relaxed structure of Er12Ni5Pb.

Computed properties:
The space-group type is Immm.

a = 8.2604 Å, b = 8.2604 Å, c = 8.2604 Å
α = 106.99°, β = 111.53°, γ = 109.93°
Positions (direct):
Er (0.6937, 0.3212, 0.0149)
Er (0.1111, 0.8189, 0.2922)
Er (0.1923, 0.4039, 0.2116)
Er (0.3063, 0.3212, 0.6275)
Er (0.8077, 0.0193, 0.2116)
Er (0.8077, 0.5961, 0.7884)
Er (0.1923, 0.9807, 0.7884)
Er (0.6937, 0.6788, 0.3725)
Er (0.5268, 0.8189, 0.7078)
Er (0.8889, 0.1811, 0.7078)
Er (0.3063, 0.6788, 0.9851)
Er (0.4732, 0.1811, 0.2922)
Ni (0.5000, 0.8766, 0.3766)
Ni (0.5000, 0.1234, 0.6234)
Ni (0.3643, 0.3643, 0.0000)
Ni (0.0000, 0.0000, 0.0000)
Ni (0.6357, 0.6357, 0.0000)
Pb (0.0000, 0.5000, 0.5000)

No. 15
Density functional theory data (GGA-PBE) for a relaxed structure of Er3NiPb.

Computed properties:
The space-group type is P2_1/m. Its energy above the most stable polymorph in this dataset is 0.000 eV per atom.

a = 4.4353 Å, b = 7.6858 Å, c = 8.2732 Å
α = 114.72°, β = 90.00°, γ = 90.00°
Positions (direct):
Pb (0.2500, 0.3252, 0.2007)
Pb (0.7500, 0.6748, 0.7993)
Ni (0.2500, 0.9372, 0.4174)
Ni (0.7500, 0.0628, 0.5826)
Er (0.7500, 0.6712, 0.4066)
Er (0.7500, 0.3248, 0.9180)
Er (0.2500, 0.9539, 0.7550)
Er (0.2500, 0.3288, 0.5934)
Er (0.7500, 0.0461, 0.2450)
Er (0.2500, 0.6752, 0.0820)

No. 16
Density functional theory data (GGA-PBE) for a relaxed structure of Er5NiPb2.

Computed properties:
The space-group type is Pbam.

a = 4.4711 Å, b = 7.9955 Å, c = 12.1432 Å
α = 90.00°, β = 90.00°, γ = 90.00°
Positions (direct):
Pb (0.5000, 0.0710, 0.3268)
Pb (0.5000, 0.4290, 0.8268)
Pb (0.5000, 0.5710, 0.1732)
Pb (0.5000, 0.9290, 0.6732)
Er (0.0000, 0.5000, 0.0000)
Er (0.0000, 0.6411, 0.6984)
Er (0.0000, 0.0000, 0.5000)
Er (0.5000, 0.1798, 0.0659)
Er (0.5000, 0.6798, 0.4341)
Er (0.0000, 0.8589, 0.1984)
Er (0.5000, 0.8202, 0.9341)
Er (0.0000, 0.1411, 0.8016)
Er (0.0000, 0.3589, 0.3016)
Er (0.5000, 0.3202, 0.5659)
Ni (0.0000, 0.0000, 0.0000)
Ni (0.0000, 0.5000, 0.5000)

No. 17
Density functional theory data (GGA-PBE) for a relaxed structure of Er3NiPb2.

Computed properties:
The space-group type is Pnma.

a = 4.3531 Å, b = 11.7528 Å, c = 12.1400 Å
α = 90.00°, β = 90.00°, γ = 90.00°
Positions (direct):
Pb (0.2500, 0.8096, 0.9996)
Pb (0.7500, 0.3096, 0.5004)
Pb (0.2500, 0.0066, 0.3132)
Pb (0.7500, 0.1904, 0.0004)
Pb (0.7500, 0.5066, 0.1868)
Pb (0.2500, 0.4934, 0.8132)
Pb (0.7500, 0.9934, 0.6868)
Pb (0.2500, 0.6904, 0.4996)
Er (0.7500, 0.2903, 0.7610)
Er (0.7500, 0.8692, 0.4422)
Er (0.2500, 0.3692, 0.0578)
Er (0.2500, 0.0472, 0.8782)
Er (0.2500, 0.1308, 0.5578)
Er (0.2500, 0.7097, 0.2390)
Er (0.7500, 0.2097, 0.2610)
Er (0.2500, 0.4528, 0.3782)
Er (0.2500, 0.7903, 0.7390)
Er (0.7500, 0.5472, 0.6218)
Er (0.7500, 0.9528, 0.1218)
Er (0.7500, 0.6308, 0.9422)
Ni (0.2500, 0.1351, 0.1273)
Ni (0.2500, 0.3649, 0.6273)
Ni (0.7500, 0.6351, 0.3727)
Ni (0.7500, 0.8649, 0.8727)

No. 18
Density functional theory data (GGA-PBE) for a relaxed structure of Er5NiPb4.

Computed properties:
The space-group type is I4/mmm.

a = 5.4818 Å, b = 7.6574 Å, c = 7.6574 Å
α = 82.64°, β = 69.03°, γ = 69.03°
Positions (direct):
Pb (0.5012, 0.6750, 0.3246)
Pb (0.5008, 0.3250, 0.6754)
Pb (0.8258, 0.6754, 0.6750)
Pb (0.1762, 0.3246, 0.3250)
Er (0.1798, 0.6419, 0.0005)
Er (0.5011, 0.0000, 0.0000)
Er (0.8222, 0.3581, 0.9995)
Er (0.1803, 0.9995, 0.6419)
Er (0.8217, 0.0005, 0.3581)
Ni (0.0011, 0.0000, 0.0000)

No. 19
Density functional theory data (GGA-PBE) for a relaxed structure of Er2NiPb.

Computed properties:
The space-group type is R-3m.

a = 3.7349 Å, b = 3.7349 Å, c = 8.7484 Å
α = 77.67°, β = 77.67°, γ = 60.00°
Positions (direct):
Er (0.7289, 0.7289, 0.8132)
Er (0.2711, 0.2711, 0.1868)
Ni (0.0000, 0.0000, 0.0000)
Pb (0.5000, 0.5000, 0.5000)

No. 20
Density functional theory data (GGA-PBE) for a relaxed structure of Er2NiPb.

Computed properties:
The space-group type is P4/mmm.

a = 3.4147 Å, b = 3.4147 Å, c = 8.0605 Å
α = 90.00°, β = 90.00°, γ = 90.00°
Positions (direct):
Er (0.0000, 0.0000, 0.8006)
Er (0.0000, 0.0000, 0.1994)
Pb (0.5000, 0.5000, 0.5000)
Ni (0.5000, 0.5000, 0.0000)

No. 21
Density functional theory data (GGA-PBE) for a relaxed structure of Er5Ni2Pb.

Computed properties:
The space-group type is I4/mcm.

a = 7.6300 Å, b = 7.6300 Å, c = 8.5906 Å
α = 116.37°, β = 116.37°, γ = 90.00°
Positions (direct):
Er (0.5000, 0.5000, 0.0000)
Er (0.5243, 0.7078, 0.7321)
Er (0.0000, 0.0000, 0.0000)
Er (0.9757, 0.4757, 0.2679)
Er (0.7922, 0.9757, 0.2679)
Er (0.2078, 0.0243, 0.7321)
Er (0.4757, 0.2922, 0.2679)
Er (0.0243, 0.5243, 0.7321)
Er (0.2922, 0.7922, 0.2679)
Er (0.7078, 0.2078, 0.7321)
Ni (0.1294, 0.3706, 0.0000)
Ni (0.3706, 0.8706, 0.0000)
Ni (0.6294, 0.1294, 0.0000)
Ni (0.8706, 0.6294, 0.0000)
Pb (0.2500, 0.2500, 0.5000)
Pb (0.7500, 0.7500, 0.5000)

No. 22
Density functional theory data (GGA-PBE) for a relaxed structure of Er3NiPb.

Computed properties:
The space-group type is Pm-3m. Its energy above the most stable polymorph in this dataset is 0.119 eV per atom.

a = 5.1529 Å, b = 5.1529 Å, c = 5.1529 Å
α = 90.00°, β = 90.00°, γ = 90.00°
Positions (direct):
Er (0.0000, 0.5000, 0.0000)
Er (0.0000, 0.0000, 0.5000)
Er (0.5000, 0.0000, 0.0000)
Pb (0.5000, 0.5000, 0.5000)
Ni (0.0000, 0.0000, 0.0000)

It is found that the M_tot values, taken in the order of the records, are 0.00; 0.00; 0.00; 0.00; 0.00; 0.00; 0.00; 0.00; 0.35; 0.00; 0.00; 0.00; 0.00; 0.00; 0.00; 0.00; 0.00; 0.00; 0.00; 0.00; 0.00; 0.00 μB/f.u..
It is found that the E values, taken in the order of the records, are -6.816; -6.721; -6.671; -6.434; -6.345; -6.656; -6.743; -6.335; -6.640; -8.196; -7.614; -6.646; -5.302; -5.229; -5.054; -4.932; -4.945; -4.626; -4.999; -5.078; -5.165; -4.935 eV per atom.
It is found that the ρ values, taken in the order of the records, are 11.1; 11.3; 10.5; 10.6; 10.6; 11.3; 11.4; 10.7; 11.5; 13.6; 11.9; 7.3; 9.5; 9.6; 10.0; 10.0; 10.4; 10.2; 9.7; 10.6; 9.9; 9.3 Mg/m³.